1.
DFT (PBE) results for an optimized crystal structure of YHfB4.

Unit cell a=3.2043 b=3.2043 c=7.3737 alpha=90.00 beta=90.00 gamma=120.00
Closest atoms and distances in Å follow each position.
Sites, in units of the cell vectors:
Hf: 0.0000 0.0000 0.0000  12 B 2.52
B: 0.6667 0.3333 0.7679  3 B 1.85
B: 0.3333 0.6667 0.2321  3 B 1.85
B: 0.3333 0.6667 0.7679  3 B 1.85
B: 0.6667 0.3333 0.2321  3 B 1.85
Y: 0.0000 0.0000 0.5000  12 B 2.71

Properties
The calculation puts the calculated density at 7.87 g/cm3. As for the energy: -7.9979 eV per atom.

2.
DFT (PBE) results for an optimized crystal structure of MgNbAlCo.

Unit cell a=4.3895 b=4.3895 c=4.3895 alpha=60.00 beta=60.00 gamma=60.00
Closest atoms and distances in Å follow each position.
Sites, in units of the cell vectors:
Al: 0.0000 0.0000 0.0000  4 Co 2.69, 4 Mg 2.69
Mg: 0.2500 0.2500 0.2500  4 Nb 2.69, 4 Al 2.69
Nb: 0.5000 0.5000 0.5000  4 Co 2.69, 4 Mg 2.69
Co: 0.7500 0.7500 0.7500  4 Nb 2.69, 4 Al 2.69

Properties
The calculation puts the energy above the most stable polymorph in this dataset at 0 meV/atom. The calculation puts the calculated density at 5.64 g/cm3.

3.
DFT (PBE) results for an optimized crystal structure of NaTaFeSi.

Unit cell a=4.2798 b=4.2798 c=4.2798 alpha=60.00 beta=60.00 gamma=60.00
Closest atoms and distances in Å follow each position.
Sites, in units of the cell vectors:
Ta: 0.5000 0.5000 0.5000  4 Fe 2.62, 4 Na 2.62
Si: 0.0000 0.0000 0.0000  4 Na 2.62, 4 Fe 2.62
Fe: 0.2500 0.2500 0.2500  4 Ta 2.62, 4 Si 2.62
Na: 0.7500 0.7500 0.7500  4 Si 2.62, 4 Ta 2.62

Properties
The calculation puts the energy above the most stable polymorph in this dataset at 0 meV/atom. The calculation puts the calculated density at 8.62 g/cm3.